[1]
A plane-wave DFT calculation with PBE-GGA was carried out for an optimized crystal structure of ZrTcBr.

POSCAR file:
```
ZrTcBr
1.0
-0.525 4.032 1.714
-3.473 -2.689 -0.418
0.560 -1.183 2.954
Tc Zr Br
1 1 1
Cartesian
-2.375 -0.693 0.903 Tc
-1.151 1.038 2.886 Zr
0.087 -0.184 0.460 Br
```

Output
DOS(E_F): 0.9121 states/eV per atom
Formation energy from raw total energies: 0.145 eV per atom
Polymorph energy (0 for the lowest one): 0.64 eV/f.u.

[2]
A plane-wave DFT calculation with PBE-GGA was carried out for an optimized crystal structure of Ac8YRh6.

POSCAR file:
```
Ac8YRh6
1.0
7.101 0.000 2.333
3.167 6.356 2.333
0.350 0.216 10.910
Rh Ac Y
6 8 1
Cartesian
5.680 0.548 10.852 Rh
5.287 1.732 3.965 Rh
1.915 2.613 10.035 Rh
8.704 3.959 5.540 Rh
5.332 4.840 11.610 Rh
4.938 6.024 4.723 Rh
3.718 0.833 8.653 Ac
7.163 1.504 6.147 Ac
3.483 3.616 5.368 Ac
7.135 2.956 10.207 Ac
7.196 4.454 14.020 Ac
3.456 5.068 9.428 Ac
3.423 2.118 1.556 Ac
6.900 5.739 6.922 Ac
0.000 0.000 0.000 Y
```

Output
DOS(E_F): 0.7098 states/eV per atom
Formation enthalpy at 0 K: -592 meV per atom

[3]
A plane-wave DFT calculation with PBE-GGA was carried out for an optimized crystal structure of KLiHo2Te4.

POSCAR file:
```
KLiHo2Te4
1.0
-2.288 -2.487 2.900
5.091 -4.736 -3.464
10.557 3.231 11.100
Ho Te Li K
4 8 2 2
Cartesian
4.506 -1.429 5.748 Ho
0.588 -2.628 1.628 Ho
8.854 -2.563 4.787 Ho
12.772 -1.364 8.907 Ho
3.254 -2.848 0.124 Te
7.113 -2.060 7.265 Te
11.364 -2.797 6.566 Te
0.000 0.000 0.000 Te
10.106 -1.144 10.411 Te
1.997 -1.195 3.969 Te
6.247 -1.932 3.271 Te
5.278 1.615 5.550 Te
3.931 -1.150 2.116 Li
9.429 -2.842 8.420 Li
4.541 -5.049 2.671 K
8.820 1.056 7.864 K
```

Output
Formation energy from raw total energies: -1.309 eV per atom

[4]
A plane-wave DFT calculation with PBE-GGA was carried out for an optimized crystal structure of TcMo2Cl.

POSCAR file:
```
TcMo2Cl
1.0
-2.110 0.623 -3.484
2.082 -1.379 -1.507
-1.876 -5.151 0.215
Tc Mo Cl
1 2 1
Cartesian
0.464 -3.346 -0.879 Tc
-1.251 -1.346 -1.920 Mo
1.621 -1.224 -1.201 Mo
-0.554 -4.636 -2.930 Cl
```

Output
DOS(E_F): 0.4775 states/eV per atom
Formation energy from raw total energies: 0.471 eV per atom
Polymorph energy (0 for the lowest one): 0.92 eV/f.u.

[5]
A plane-wave DFT calculation with PBE-GGA was carried out for an optimized crystal structure of Ca4Bi2S.

POSCAR file:
```
Ca4Bi2S
1.0
7.202 0.000 -1.484
-0.306 7.195 -1.484
-0.133 -0.139 17.572
Ca S Bi
16 4 8
Cartesian
6.689 6.979 5.879 Ca
1.877 1.653 -0.742 Ca
-0.067 3.382 8.044 Ca
1.431 5.250 -1.423 Ca
0.931 4.728 4.519 Ca
0.573 0.598 2.784 Ca
3.521 3.674 7.242 Ca
2.078 5.925 10.086 Ca
5.465 1.945 -1.544 Ca
5.832 2.328 10.086 Ca
5.019 5.543 -2.225 Ca
4.685 1.131 4.519 Ca
6.189 6.458 11.822 Ca
3.382 0.077 8.044 Ca
4.021 4.196 1.300 Ca
2.741 2.860 13.305 Ca
3.448 3.598 -1.484 S
1.504 5.327 7.303 S
5.258 1.729 7.303 S
0.000 0.000 0.000 S
4.057 0.476 1.471 Bi
2.706 6.580 13.134 Bi
0.303 4.073 1.471 Bi
4.649 4.851 4.348 Bi
2.113 2.205 10.257 Bi
5.561 5.802 8.773 Bi
6.460 2.983 13.134 Bi
1.201 1.254 5.832 Bi
```

Output
Formation energy from raw total energies: -1.175 eV per atom

[6]
A plane-wave DFT calculation with PBE-GGA was carried out for an optimized crystal structure of SrBe2Co.

POSCAR file:
```
SrBe2Co
1.0
-1.150 -2.157 -1.621
2.654 -0.530 -1.177
3.964 -4.965 3.794
Co Be Sr
1 2 1
Cartesian
1.079 -2.452 -0.156 Co
2.780 -0.964 -0.689 Be
3.182 -2.313 0.820 Be
4.388 -5.199 1.152 Sr
```

Output
DOS(E_F): 0.7490 states/eV per atom
Formation enthalpy at 0 K: 319 meV per atom
Polymorph energy (0 for the lowest one): 1.07 eV/f.u.

[7]
A plane-wave DFT calculation with PBE-GGA was carried out for an optimized crystal structure of BaTl3V.

POSCAR file:
```
BaTl3V
1.0
5.343 0.000 0.000
0.000 5.343 0.000
0.000 0.000 5.343
Tl Ba V
3 1 1
Cartesian
0.000 0.000 2.672 Tl
0.000 2.672 0.000 Tl
2.672 0.000 0.000 Tl
2.672 2.672 2.672 Ba
0.000 0.000 0.000 V
```

Output
DOS(E_F): 0.5023 states/eV per atom
Formation enthalpy at 0 K: 17 meV per atom
Polymorph energy (0 for the lowest one): 0.00 eV/f.u.